<i>
CaTiW2 | PBE | optimized geometry

Cell: 4.000 4.000 20.015 Å, 90.00 90.00 90.00°
Space group I-42d (No. 122)
Symmetry-distinct sites (fractional):
Ca 0.000 0.000 0.000 x4
Ti 0.000 0.000 0.500 x4
W 0.209 0.250 0.625 x8

Output
The density of states at the Fermi level is 1.645 states/eV/atom. As for the magnetic moment: 0.0 μB per cell.

<ii>
CaTiW2 | PBE | optimized geometry

Cell: 6.627 6.627 6.627 Å, 90.00 90.00 90.00°
Space group Fm-3m (No. 225)
Symmetry-distinct sites (fractional):
Ca 0.000 0.000 0.000 x4
Ti 0.000 0.000 0.500 x4
W 0.250 0.250 0.250 x8

Output
The density of states at the Fermi level is 1.673 states/eV/atom. As for the magnetic moment: 0.0 μB per cell.

Which is most stable? The ranking, best first, is <ii>, <i>.

<i>
CaY2Ti | PBE | optimized geometry

Cell: 7.785 7.785 7.785 Å, 90.00 90.00 90.00°
Space group Fm-3m (No. 225)
Symmetry-distinct sites (fractional):
Ca 0.000 0.000 0.000 x4
Y 0.250 0.250 0.250 x8
Ti 0.000 0.000 0.500 x4

Output
The density of states at the Fermi level is 2.447 states/eV/atom. As for the magnetic moment: 13.8 μB per cell.

<ii>
CaY2Ti | PBE | optimized geometry

Cell: 8.595 8.595 6.630 Å, 90.00 90.00 90.00°
Space group I-42d (No. 122)
Symmetry-distinct sites (fractional):
Ca 0.000 0.000 0.000 x4
Y 0.223 0.750 0.625 x8
Ti 0.000 0.000 0.500 x4

Output
The density of states at the Fermi level is 1.658 states/eV/atom. As for the magnetic moment: 13.4 μB per cell.

<iii>
CaY2Ti | PBE | optimized geometry

Cell: 3.560 3.560 9.533 Å, 90.00 90.00 90.00°
Space group P4/mmm (No. 123)
Symmetry-distinct sites (fractional):
Ca 0.000 0.000 0.000 x1
Y 0.500 0.500 0.300 x2
Ti 0.000 0.000 0.500 x1

Output
The density of states at the Fermi level is 1.650 states/eV/atom. As for the magnetic moment: 0.0 μB per cell.

Which is most stable? The ranking, best first, is <iii>, <i>, <ii>.

<i>
CaTiZn3 | PBE | optimized geometry

Cell: 5.052 5.052 5.052 Å, 90.00 90.00 90.00°
Space group Pm-3m (No. 221)
Symmetry-distinct sites (fractional):
Ca 0.000 0.000 0.000 x1
Ti 0.500 0.500 0.500 x1
Zn 0.000 0.000 0.500 x3

Output
The density of states at the Fermi level is 0.702 states/eV/atom. As for the magnetic moment: 0.0 μB per cell.

<ii>
CaTiZn3 | PBE | optimized geometry

Cell: 4.986 4.986 4.986 Å, 90.00 90.00 90.00°
Space group Pm-3m (No. 221)
Symmetry-distinct sites (fractional):
Ca 0.000 0.000 0.000 x1
Ti 0.500 0.500 0.500 x1
Zn 0.000 0.500 0.500 x3

Output
The density of states at the Fermi level is 0.846 states/eV/atom. As for the magnetic moment: 2.4 μB per cell.

Which is most stable? The ranking, best first, is <ii>, <i>.